Entry 1:
First-principles (PBE) data for a geometry-optimized Dy3ErSc structure, as listed in Alexandria.

Lattice parameters (Å, degrees): 6.5629 6.5774 9.3935 65.85 84.00 55.63
Positions (direct):
Dy 0.8283 0.4259 0.7450
Dy 0.9688 0.7883 0.8456
Dy 0.3614 0.3844 0.6454
Dy 0.1717 0.5741 0.2550
Dy 0.0312 0.2117 0.1544
Dy 0.6386 0.6156 0.3546
Er 0.5656 0.1831 0.0507
Er 0.4344 0.8169 0.9493
Sc 0.7652 0.9872 0.4515
Sc 0.2348 0.0128 0.5485

Summary:
Symmetry: P-1
M_tot (μB/f.u.): 0.00
DOS(E_F) (states/eV per atom): 1.748
Energy relative to the elements (eV/atom): 0.017
Calculated volume (Å³/cell): 301
Total energy (eV per atom): -4.92
Relative energy among the computed polymorphs (meV/atom): 0

***

Entry 2:
First-principles (PBE) data for a geometry-optimized Ce2AlGe4Ir3 structure, as listed in Alexandria.

Lattice parameters (Å, degrees): 4.2023 4.2023 10.5472 90.00 90.00 90.00
Positions (direct):
Ce 0.5000 0.0000 0.2432
Ce 0.0000 0.5000 0.7568
Al 0.5000 0.5000 0.5000
Ge 0.5000 0.5000 0.0000
Ge 0.0000 0.0000 0.0000
Ge 0.5000 0.0000 0.6418
Ge 0.0000 0.5000 0.3582
Ir 0.0000 0.0000 0.5000
Ir 0.5000 0.0000 0.8728
Ir 0.0000 0.5000 0.1272

Summary:
Symmetry: P-4m2
M_tot (μB/f.u.): 0.07
DOS(E_F) (states/eV per atom): 0.697
Energy relative to the elements (eV/atom): -0.715
Calculated volume (Å³/cell): 186
Total energy (eV per atom): -6.78

***

Entry 3:
First-principles (PBE) data for a geometry-optimized BaCaP structure, as listed in Alexandria.

Lattice parameters (Å, degrees): 4.8195 4.8195 4.9990 90.00 90.00 120.00
Each line ends with the local moment (μB).
Positions (direct):
Ba 0.0000 0.0000 0.0001  0.16
Ca 0.3333 0.6667 0.5002  0.09
P 0.6667 0.3333 0.4997  0.00

Summary:
Symmetry: P-6m2
M_tot (μB/f.u.): 0.94
DOS(E_F) (states/eV per atom): 0.148
Energy relative to the elements (eV/atom): -0.771
Calculated volume (Å³/cell): 101
Total energy (eV per atom): -3.88

***

Entry 4:
First-principles (PBE) data for a geometry-optimized Tb7Dy2Er3 structure, as listed in Alexandria.

Lattice parameters (Å, degrees): 6.1237 6.1246 11.1730 79.41 100.58 70.72
Positions (direct):
Tb 0.2501 0.2500 0.5000
Tb 0.7499 0.7500 0.5000
Tb 0.0835 0.4164 0.1668
Tb 0.0000 0.0000 0.0000
Tb 0.9165 0.5836 0.8332
Tb 0.4165 0.0835 0.8332
Tb 0.5835 0.9165 0.1668
Dy 0.6669 0.3331 0.3334
Dy 0.3331 0.6669 0.6666
Er 0.5000 0.5000 0.0000
Er 0.1668 0.8331 0.3334
Er 0.8332 0.1669 0.6666

Summary:
Symmetry: Fmmm
M_tot (μB/f.u.): 0.00
DOS(E_F) (states/eV per atom): 1.391
Energy relative to the elements (eV/atom): 0.018
Calculated volume (Å³/cell): 375
Total energy (eV per atom): -4.59
Relative energy among the computed polymorphs (meV/atom): 0

***

Entry 5:
First-principles (PBE) data for a geometry-optimized PmDy5ErSc2 structure, as listed in Alexandria.

Lattice parameters (Å, degrees): 5.5885 11.0872 9.3157 90.00 90.00 104.60
Positions (direct):
Pm 0.8157 0.6313 0.5180
Pm 0.1843 0.3687 0.0180
Dy 0.3925 0.7850 0.0471
Dy 0.7342 0.4684 0.8327
Dy 0.4683 0.9365 0.7483
Dy 0.3070 0.6141 0.7184
Dy 0.9900 0.9801 0.5136
Dy 0.6075 0.2150 0.5471
Dy 0.2658 0.5316 0.3327
Dy 0.5317 0.0635 0.2483
Dy 0.6930 0.3859 0.2184
Dy 0.0100 0.0199 0.0136
Er 0.5972 0.1944 0.9198
Er 0.4028 0.8056 0.4198
Sc 0.8865 0.7730 0.8256
Sc 0.1360 0.2721 0.7004
Sc 0.1135 0.2270 0.3256
Sc 0.8640 0.7279 0.2004

Summary:
Symmetry: Cmc2_1
M_tot (μB/f.u.): 0.00
DOS(E_F) (states/eV per atom): 1.498
Energy relative to the elements (eV/atom): 0.168
Calculated volume (Å³/cell): 559
Total energy (eV per atom): -4.83

***

Entry 6:
First-principles (PBE) data for a geometry-optimized Tb2Sm6Y structure, as listed in Alexandria.

Lattice parameters (Å, degrees): 3.6506 9.9947 9.9947 55.94 90.00 90.00
Positions (direct):
Tb 0.5000 0.1801 0.1801
Tb 0.5000 0.8199 0.8199
Sm 0.0000 0.5132 0.1585
Sm 0.0000 0.8415 0.4868
Sm 0.0000 0.4868 0.8415
Sm 0.5000 0.6825 0.3175
Sm 0.0000 0.1585 0.5132
Sm 0.5000 0.3175 0.6825
Y 0.0000 0.0000 0.0000

Summary:
Symmetry: Cmmm
M_tot (μB/f.u.): 0.00
DOS(E_F) (states/eV per atom): 1.438
Energy relative to the elements (eV/atom): 0.131
Calculated volume (Å³/cell): 302
Total energy (eV per atom): -4.76
Relative energy among the computed polymorphs (meV/atom): 0

***

Entry 7:
First-principles (PBE) data for a geometry-optimized NaTiIn structure, as listed in Alexandria.

Lattice parameters (Å, degrees): 3.0480 7.7903 7.9058 60.64 82.98 92.15
Positions (direct):
Na 0.5000 0.0000 0.0000
Na 0.5000 0.5000 0.0000
Ti 0.0919 0.4234 0.6461
Ti 0.9081 0.5766 0.3539
In 0.4941 0.1729 0.5175
In 0.5059 0.8271 0.4825

Summary:
Symmetry: P-1
M_tot (μB/f.u.): 0.00
DOS(E_F) (states/eV per atom): 1.115
Energy relative to the elements (eV/atom): 0.302
Calculated volume (Å³/cell): 161
Total energy (eV per atom): -3.68
Relative energy among the computed polymorphs (meV/atom): 346

***

Entry 8:
First-principles (PBE) data for a geometry-optimized Zn2SiNi structure, as listed in Alexandria.

Lattice parameters (Å, degrees): 9.0901 9.0901 9.0901 16.85 16.85 16.85
Each line ends with the local moment (μB).
Positions (direct):
Ni 0.2500 0.2500 0.2500  0.26
Si 0.7500 0.7500 0.7500  0.00
Zn 0.9913 0.9913 0.9913  0.00
Zn 0.5087 0.5087 0.5087  0.00

Summary:
Symmetry: R-3m
M_tot (μB/f.u.): 0.25
DOS(E_F) (states/eV per atom): 0.465
Calculated volume (Å³/cell): 55
Total energy (eV per atom): -3.38

***

Entry 9:
First-principles (PBE) data for a geometry-optimized MgTa2Te structure, as listed in Alexandria.

Lattice parameters (Å, degrees): 3.0886 3.0886 9.7210 90.00 90.00 107.92
Positions (direct):
Mg 0.5000 0.5000 0.7862
Ta 0.0000 0.0000 0.0208
Ta 0.5000 0.5000 0.2315
Te 0.0000 0.0000 0.4615

Summary:
Symmetry: Cmm2
M_tot (μB/f.u.): 0.00
DOS(E_F) (states/eV per atom): 0.480
Calculated volume (Å³/cell): 88
Total energy (eV per atom): -6.93
Relative energy among the computed polymorphs (meV/atom): 69

***

Entry 10:
First-principles (PBE) data for a geometry-optimized ZrZn2In structure, as listed in Alexandria.

Lattice parameters (Å, degrees): 5.6592 5.6592 5.6592 142.86 134.55 60.08
Positions (direct):
In 0.7562 0.2562 0.5000
Zn 0.0245 0.0245 0.0000
Zn 0.2328 0.7328 0.5000
Zr 0.4865 0.4865 0.0000

Summary:
Symmetry: Imm2
M_tot (μB/f.u.): 0.00
DOS(E_F) (states/eV per atom): 1.012
Energy relative to the elements (eV/atom): -0.087
Calculated volume (Å³/cell): 77
Total energy (eV per atom): -3.55

***

Entry 11:
First-principles (PBE) data for a geometry-optimized BiTe2H4 structure, as listed in Alexandria.

Lattice parameters (Å, degrees): 7.4740 7.4740 4.7124 114.58 114.58 109.66
Positions (direct):
Bi 0.9563 0.9563 0.6411
Te 0.2662 0.7525 0.6646
Te 0.7525 0.2662 0.6646
H 0.9928 0.9928 0.3007
H 0.2611 0.2611 0.0882
H 0.6099 0.1612 0.8204
H 0.1612 0.6099 0.8204

Summary:
Symmetry: Cm
M_tot (μB/f.u.): 0.00
DOS(E_F) (states/eV per atom): 0.071
Calculated volume (Å³/cell): 171
Total energy (eV per atom): -3.14

***

Entry 12:
First-principles (PBE) data for a geometry-optimized BeZn2CoB structure, as listed in Alexandria.

Lattice parameters (Å, degrees): 3.9925 3.8029 3.9925 90.00 90.00 90.00
Positions (direct):
Be 0.5000 0.5000 0.5000
Zn 0.0000 0.0000 0.5000
Zn 0.5000 0.0000 0.0000
B 0.0000 0.0000 0.0000
Co 0.0000 0.5000 0.0000

Summary:
Symmetry: P4/mmm
M_tot (μB/f.u.): 0.00
DOS(E_F) (states/eV per atom): 0.292
Energy relative to the elements (eV/atom): 0.433
Calculated volume (Å³/cell): 61
Total energy (eV per atom): -3.58
Relative energy among the computed polymorphs (meV/atom): 0

***

Entry 13:
First-principles (PBE) data for a geometry-optimized La2Dy3Y3 structure, as listed in Alexandria.

Lattice parameters (Å, degrees): 5.1226 5.1223 10.7421 103.82 103.79 90.00
Positions (direct):
La 0.7498 0.2497 0.4995
La 0.2502 0.7503 0.5005
Dy 0.1222 0.1222 0.2443
Dy 0.0000 0.5000 0.0000
Dy 0.8778 0.8778 0.7557
Y 0.6220 0.6221 0.2440
Y 0.3780 0.3779 0.7560
Y 0.5000 0.0000 0.0000

Summary:
Symmetry: Immm
M_tot (μB/f.u.): 0.00
DOS(E_F) (states/eV per atom): 1.660
Energy relative to the elements (eV/atom): 0.031
Calculated volume (Å³/cell): 265
Total energy (eV per atom): -5.35
Relative energy among the computed polymorphs (meV/atom): 0

***

Entry 14:
First-principles (PBE) data for a geometry-optimized Sc2Ti2Rh structure, as listed in Alexandria.

Lattice parameters (Å, degrees): 6.3698 6.3698 4.7839 90.00 90.00 90.00
Positions (direct):
Sc 0.1671 0.6671 0.5000
Sc 0.6671 0.8329 0.5000
Sc 0.8329 0.3329 0.5000
Sc 0.3329 0.1671 0.5000
Rh 0.0000 0.0000 0.0000
Rh 0.5000 0.5000 0.0000
Ti 0.3545 0.8545 0.0000
Ti 0.8545 0.6455 0.0000
Ti 0.6455 0.1455 0.0000
Ti 0.1455 0.3545 0.0000

Summary:
Symmetry: P4/mbm
M_tot (μB/f.u.): 0.00
DOS(E_F) (states/eV per atom): 1.378
Energy relative to the elements (eV/atom): -0.232
Calculated volume (Å³/cell): 194
Total energy (eV per atom): -7.39

***

Entry 15:
First-principles (PBE) data for a geometry-optimized PmSmIrPt structure, as listed in Alexandria.

Lattice parameters (Å, degrees): 3.9379 4.3504 5.7886 90.00 109.89 90.00
Positions (direct):
Pm 0.1426 0.0000 0.2852
Sm 0.8602 0.5000 0.7203
Ir 0.4129 0.0000 0.8258
Pt 0.5844 0.5000 0.1687

Summary:
Symmetry: Amm2
M_tot (μB/f.u.): 0.00
DOS(E_F) (states/eV per atom): 0.603
Energy relative to the elements (eV/atom): -0.926
Calculated volume (Å³/cell): 93
Total energy (eV per atom): -7.02
Relative energy among the computed polymorphs (meV/atom): 0

***

Entry 16:
First-principles (PBE) data for a geometry-optimized NdY3S4 structure, as listed in Alexandria.

Lattice parameters (Å, degrees): 5.6021 5.6021 5.6021 90.00 90.00 90.00
Positions (direct):
Nd 0.0000 0.0000 0.0000
Y 0.0000 0.5000 0.5000
Y 0.5000 0.0000 0.5000
Y 0.5000 0.5000 0.0000
S 0.5000 0.0000 0.0000
S 0.0000 0.5000 0.0000
S 0.0000 0.0000 0.5000
S 0.5000 0.5000 0.5000

Summary:
Symmetry: Pm-3m
M_tot (μB/f.u.): 0.00
DOS(E_F) (states/eV per atom): 0.572
Calculated volume (Å³/cell): 176
Total energy (eV per atom): -7.06
Relative energy among the computed polymorphs (meV/atom): 20

***

Entry 17:
First-principles (PBE) data for a geometry-optimized Nd3Be4Ir4 structure, as listed in Alexandria.

Lattice parameters (Å, degrees): 6.2970 6.2970 6.2970 109.47 109.47 109.47
Positions (direct):
Nd 0.5000 0.5000 0.0000
Nd 0.5000 0.0000 0.5000
Nd 0.0000 0.5000 0.5000
Be 0.0000 0.6377 0.0000
Be 0.6377 0.0000 0.0000
Be 0.0000 0.0000 0.6377
Be 0.3623 0.3623 0.3623
Ir 0.0000 0.2747 0.0000
Ir 0.0000 0.0000 0.2747
Ir 0.2747 0.0000 0.0000
Ir 0.7253 0.7253 0.7253

Summary:
Symmetry: I-43m
M_tot (μB/f.u.): 0.00
DOS(E_F) (states/eV per atom): 0.494
Energy relative to the elements (eV/atom): -0.512
Calculated volume (Å³/cell): 192
Total energy (eV per atom): -6.39

***

Entry 18:
First-principles (PBE) data for a geometry-optimized Ho5Sb4Te structure, as listed in Alexandria.

Lattice parameters (Å, degrees): 4.3648 6.1657 11.5513 105.48 100.89 90.00
Positions (direct):
Ho 0.6044 0.1044 0.2089
Ho 0.8007 0.3007 0.6013
Ho 0.1993 0.6993 0.3987
Ho 0.0000 0.5000 0.0000
Ho 0.3956 0.8956 0.7911
Sb 0.4010 0.4010 0.8019
Sb 0.7993 0.7993 0.5985
Sb 0.2007 0.2007 0.4015
Sb 0.5990 0.5990 0.1981
Te 0.0000 0.0000 0.0000

Summary:
Symmetry: Immm
M_tot (μB/f.u.): 0.00
DOS(E_F) (states/eV per atom): 0.313
Calculated volume (Å³/cell): 294
Total energy (eV per atom): -5.43
Relative energy among the computed polymorphs (meV/atom): 7

***

Entry 19:
First-principles (PBE) data for a geometry-optimized La3Tb2Sm8 structure, as listed in Alexandria.

Lattice parameters (Å, degrees): 8.7148 8.7148 12.0409 90.00 90.00 96.11
Positions (direct):
La 0.8604 0.6396 0.2500
La 0.5000 0.5000 0.5000
La 0.6396 0.8604 0.7500
La 0.3604 0.1396 0.2500
La 0.0000 0.0000 0.0000
La 0.1396 0.3604 0.7500
Tb 0.1967 0.8033 0.1547
Tb 0.3033 0.6967 0.6547
Tb 0.6967 0.3033 0.3453
Tb 0.8033 0.1967 0.8453
Sm 0.8995 0.6198 0.9130
Sm 0.8802 0.6005 0.5870
Sm 0.0577 0.9423 0.7203
Sm 0.3243 0.6757 0.9301
Sm 0.4423 0.5577 0.2203
Sm 0.1757 0.8243 0.4301
Sm 0.3995 0.1198 0.5870
Sm 0.6198 0.8995 0.0870
Sm 0.3802 0.1005 0.9130
Sm 0.6005 0.8802 0.4130
Sm 0.9423 0.0577 0.2797
Sm 0.5577 0.4423 0.7797
Sm 0.6757 0.3243 0.0699
Sm 0.8243 0.1757 0.5699
Sm 0.1198 0.3995 0.4130
Sm 0.1005 0.3802 0.0870

Summary:
Symmetry: Cmce
M_tot (μB/f.u.): 0.00
DOS(E_F) (states/eV per atom): 1.577
Energy relative to the elements (eV/atom): 0.162
Calculated volume (Å³/cell): 909
Total energy (eV per atom): -4.59
Relative energy among the computed polymorphs (meV/atom): 0

***

Entry 20:
First-principles (PBE) data for a geometry-optimized CdSI2O structure, as listed in Alexandria.

Lattice parameters (Å, degrees): 5.8013 5.8013 3.6647 90.00 90.00 90.00
Positions (direct):
I 0.0000 0.5000 0.0000
I 0.5000 0.0000 0.0000
S 0.0000 0.0000 0.0000
O 0.0000 0.0000 0.5000
Cd 0.5000 0.5000 0.5000

Summary:
Symmetry: P4/mmm
M_tot (μB/f.u.): 0.00
DOS(E_F) (states/eV per atom): 0.545
Calculated volume (Å³/cell): 123
Total energy (eV per atom): -2.49
Relative energy among the computed polymorphs (meV/atom): 0